First-principles (PBE-GGA) data for a relaxed Ca2TaMn crystal, as listed in the Alexandria database.

Output
D(E_F)	6.891	states/eV/cell
E above lowest polymorph	221.8	meV per atom
mass density	4.75	Mg/m³
energy relative to the elements	531.1	meV/atom

Cell lengths 8.246, 3.320, 8.125 Å; angles 90.00, 96.42, 90.00 degrees
Fractional coordinates of all 8 atoms:
Ca 0.000 0.000 0.000
Ca 0.209 0.000 0.601
Ca 0.500 0.500 0.000
Ca 0.709 0.500 0.601
Ta 0.261 0.500 0.268
Ta 0.761 0.000 0.268
Mn 0.482 0.000 0.336
Mn 0.982 0.500 0.336


First-principles (PBE-GGA) data for a relaxed LaIr2Se crystal, as listed in the Alexandria database.

Output
D(E_F)	8.744	states/eV/cell
E above lowest polymorph	396.8	meV per atom
mass density	12.71	Mg/m³
ΔE_f (raw)	-0.1574	eV/atom

Cell lengths 4.065, 4.065, 9.525 Å; angles 90.00, 90.00, 90.00 degrees
Fractional coordinates of all 8 atoms:
La 0.000 0.000 0.000
La 0.500 0.500 0.500
Ir 0.000 0.500 0.250
Ir 0.000 0.500 0.750
Ir 0.500 0.000 0.250
Ir 0.500 0.000 0.750
Se 0.000 0.000 0.500
Se 0.500 0.500 0.000


First-principles (PBE-GGA) data for a relaxed FeAgOs crystal, as listed in the Alexandria database.

Output
D(E_F)	12.086	states/eV/cell
E above lowest polymorph	581.4	meV per atom
mass density	12.39	Mg/m³
energy relative to the elements	954.3	meV/atom

Cell lengths 5.747, 5.747, 5.747 Å; angles 90.00, 90.00, 90.00 degrees
Fractional coordinates of all 12 atoms:
Fe 0.000 0.000 0.000
Fe 0.000 0.500 0.500
Fe 0.500 0.000 0.500
Fe 0.500 0.500 0.000
Ag 0.250 0.250 0.750
Ag 0.250 0.750 0.250
Ag 0.750 0.250 0.250
Ag 0.750 0.750 0.750
Os 0.250 0.250 0.250
Os 0.250 0.750 0.750
Os 0.750 0.250 0.750
Os 0.750 0.750 0.250


no.,total energy (Ry/atom)
1,-0.421
2,-0.492
3,-0.482